Here is a geometry-optimized LiNp2PdO8 structure from the Alexandria database. Energies are from PBE.

* uncorrected formation energy: -1.925 eV/atom

Cell lengths 6.3073, 6.3073, 6.3073 Å; angles 131.42, 131.42, 71.15 degrees
Last column: nearest neighbours and their distance in Å.
Fractional coordinates of all 12 atoms:
Li (0.0000, 0.0000, 0.0000)  8 O 2.30
Np (0.5000, 0.5000, 0.0000)  8 O 2.19
Np (0.7500, 0.2500, 0.5000)  8 O 2.18
Pd (0.2500, 0.7500, 0.5000)  8 O 2.29
O (0.1249, 0.1429, 0.5185)  2 Np 2.18-2.19, 1 Pd 2.29, 1 Li 2.30, 1 O 2.41
O (0.1249, 0.6064, 0.9820)  2 Np 2.18-2.19, 1 Pd 2.29, 1 Li 2.30, 1 O 2.41
O (0.3936, 0.3756, 0.5185)  2 Np 2.18-2.19, 1 Pd 2.29, 1 Li 2.30, 1 O 2.41
O (0.3936, 0.8751, 0.0180)  2 Np 2.18-2.19, 1 Pd 2.29, 1 Li 2.30, 1 O 2.41
O (0.6244, 0.1429, 0.0180)  2 Np 2.18-2.19, 1 Pd 2.29, 1 Li 2.30, 1 O 2.41
O (0.6244, 0.6064, 0.4815)  2 Np 2.18-2.19, 1 Pd 2.29, 1 Li 2.30, 1 O 2.41
O (0.8571, 0.3756, 0.9820)  2 Np 2.18-2.19, 1 Pd 2.29, 1 Li 2.30, 1 O 2.41
O (0.8571, 0.8751, 0.4815)  2 Np 2.18-2.19, 1 Pd 2.29, 1 Li 2.30, 1 O 2.41

=====

Here is a geometry-optimized Er4SbSe3 structure from the Alexandria database. Energies are from PBE.

* uncorrected formation energy: -1.541 eV/atom

Cell lengths 8.2548, 11.6514, 4.1170 Å; angles 90.00, 90.00, 90.00 degrees
Last column: nearest neighbours and their distance in Å.
Fractional coordinates of all 16 atoms:
Er (0.0000, 0.2432, 0.0000)  5 Se 2.83-2.92, 1 Sb 2.99
Er (0.0000, 0.7568, 0.0000)  5 Se 2.83-2.92, 1 Sb 2.99
Er (0.2363, 0.0000, 0.5000)  4 Se 2.84-2.92, 2 Sb 3.00
Er (0.2637, 0.5000, 0.5000)  4 Se 2.84-2.92, 2 Sb 3.00
Er (0.5000, 0.2568, 0.0000)  5 Se 2.83-2.92, 1 Sb 2.99
Er (0.5000, 0.7432, 0.0000)  5 Se 2.83-2.92, 1 Sb 2.99
Er (0.7363, 0.5000, 0.5000)  4 Se 2.84-2.92, 2 Sb 3.00
Er (0.7637, 0.0000, 0.5000)  4 Se 2.84-2.92, 2 Sb 3.00
Sb (0.0000, 0.5000, 0.0000)  6 Er 2.99-3.00
Sb (0.5000, 0.0000, 0.0000)  6 Er 2.99-3.00
Se (0.0000, 0.0000, 0.0000)  6 Er 2.83-2.84
Se (0.2500, 0.2500, 0.5000)  6 Er 2.92
Se (0.2500, 0.7500, 0.5000)  6 Er 2.92
Se (0.5000, 0.5000, 0.0000)  6 Er 2.83-2.84
Se (0.7500, 0.2500, 0.5000)  6 Er 2.92
Se (0.7500, 0.7500, 0.5000)  6 Er 2.92

=====

Here is a geometry-optimized NaTiN2O structure from the Alexandria database. Energies are from PBE.

* uncorrected formation energy: 1.375 eV/atom

Cell lengths 3.9889, 3.9889, 3.8301 Å; angles 90.00, 90.00, 90.00 degrees
Last column: nearest neighbours and their distance in Å.
Fractional coordinates of all 5 atoms:
Na (0.0000, 0.0000, 0.0000)  2 O 1.92, 4 N 1.99
Ti (0.5000, 0.5000, 0.5000)  8 N 2.76, 4 O 2.82
N (0.0000, 0.5000, 0.0000)  2 Na 1.99
N (0.5000, 0.0000, 0.0000)  2 Na 1.99
O (0.0000, 0.0000, 0.5000)  2 Na 1.92

=====

Here is a geometry-optimized Re2OsRh structure from the Alexandria database. Energies are from PBE.

* calculated formation energy: 0.4089 eV per atom

Cell lengths 6.1978, 6.1978, 6.1978 Å; angles 90.00, 90.00, 90.00 degrees
Last column: nearest neighbours and their distance in Å.
Fractional coordinates of all 16 atoms:
Re (0.0000, 0.0000, 0.0000)  4 Re 2.68, 4 Rh 2.68
Re (0.0000, 0.5000, 0.5000)  4 Re 2.68, 4 Rh 2.68
Re (0.2500, 0.2500, 0.2500)  4 Re 2.68, 4 Os 2.68
Re (0.2500, 0.7500, 0.7500)  4 Re 2.68, 4 Os 2.68
Re (0.5000, 0.0000, 0.5000)  4 Re 2.68, 4 Rh 2.68
Re (0.5000, 0.5000, 0.0000)  4 Re 2.68, 4 Rh 2.68
Re (0.7500, 0.2500, 0.7500)  4 Re 2.68, 4 Os 2.68
Re (0.7500, 0.7500, 0.2500)  4 Re 2.68, 4 Os 2.68
Os (0.0000, 0.0000, 0.5000)  4 Re 2.68, 4 Rh 2.68
Os (0.0000, 0.5000, 0.0000)  4 Re 2.68, 4 Rh 2.68
Os (0.5000, 0.0000, 0.0000)  4 Re 2.68, 4 Rh 2.68
Os (0.5000, 0.5000, 0.5000)  4 Re 2.68, 4 Rh 2.68
Rh (0.2500, 0.2500, 0.7500)  4 Re 2.68, 4 Os 2.68
Rh (0.2500, 0.7500, 0.2500)  4 Re 2.68, 4 Os 2.68
Rh (0.7500, 0.2500, 0.2500)  4 Re 2.68, 4 Os 2.68
Rh (0.7500, 0.7500, 0.7500)  4 Re 2.68, 4 Os 2.68

=====

DOS(E_F) per entry: 7.64; 3.22; 2.29; 4.50 states/eV/f.u.